# GGA-PBE Sn2P2O7, relaxed
data_Sn2P2O7
_chemical_formula_sum 'Sn4 P4 O14'
_space_group_name_H-M_alt 'P 1 21/c 1'
_space_group_IT_number 14
_cell_length_a 5.410
_cell_length_b 9.797
_cell_length_c 7.567
_cell_angle_alpha 90.00
_cell_angle_beta 115.84
_cell_angle_gamma 90.00
loop_
_space_group_symop_operation_xyz
'x,y,z'
'-x,-y,-z'
'-x,y+1/2,-z+1/2'
'x,-y+1/2,z+1/2'
loop_
_atom_site_label
_atom_site_fract_x
_atom_site_fract_y
_atom_site_fract_z
Sn1 0.152 0.119 0.359
P1 0.392 0.607 0.609
O1 0.103 0.651 0.465
O2 0.399 0.534 0.792
O3 0.402 0.225 0.820
O4 0.500 0.000 0.000
# E_form (uncorrected)	-184.7	kJ/mol of atoms
# distance to the lowest polymorph of the same formula	0.013	eV per atom
# N(E_F)	0.00	states/eV/cell



# GGA-PBE SnP2O6, relaxed
data_SnP2O6
_chemical_formula_sum 'Sn4 P8 O24'
_space_group_name_H-M_alt 'P 1 21/c 1'
_space_group_IT_number 14
_cell_length_a 5.976
_cell_length_b 13.423
_cell_length_c 7.449
_cell_angle_alpha 90.00
_cell_angle_beta 90.54
_cell_angle_gamma 90.00
loop_
_space_group_symop_operation_xyz
'x,y,z'
'-x,-y,-z'
'-x,y+1/2,-z+1/2'
'x,-y+1/2,z+1/2'
loop_
_atom_site_label
_atom_site_fract_x
_atom_site_fract_y
_atom_site_fract_z
Sn1 0.145 0.053 0.235
P1 0.393 0.642 0.985
P2 0.471 0.648 0.594
O1 0.181 0.587 0.943
O2 0.308 0.563 0.570
O3 0.312 0.149 0.005
O4 0.324 0.747 0.546
O5 0.450 0.099 0.376
O6 0.465 0.161 0.696
# E_form (uncorrected)	-191.0	kJ/mol of atoms
# distance to the lowest polymorph of the same formula	0.001	eV per atom
# N(E_F)	0.00	states/eV/cell



# GGA-PBE SnPO2, relaxed
data_SnPO2
_chemical_formula_sum 'Sn3 P3 O6'
_space_group_name_H-M_alt 'R -3 m'
_space_group_IT_number 166
_space_group_name_Hall '-R 3 2"'
_cell_length_a 3.1582
_cell_length_b 3.1582
_cell_length_c 20.4850
_cell_angle_alpha 90.00
_cell_angle_beta 90.00
_cell_angle_gamma 120.00
loop_
_atom_site_label
_atom_site_fract_x
_atom_site_fract_y
_atom_site_fract_z
Sn1 0.0000 0.0000 0.0000
P1 0.0000 0.0000 0.5000
O1 0.0000 0.0000 0.1151
# E_form (uncorrected)	-53.4	kJ/mol of atoms
# distance to the lowest polymorph of the same formula	0.138	eV per atom
# N(E_F)	3.38	states/eV/cell



# GGA-PBE SnP2O, relaxed
data_SnP2O
_chemical_formula_sum 'Sn4 P8 O4'
_space_group_name_H-M_alt 'F m -3 m'
_space_group_IT_number 225
_space_group_name_Hall '-F 4 2 3'
_cell_length_a 6.280
_cell_length_b 6.280
_cell_length_c 6.280
_cell_angle_alpha 90.00
_cell_angle_beta 90.00
_cell_angle_gamma 90.00
loop_
_atom_site_label
_atom_site_fract_x
_atom_site_fract_y
_atom_site_fract_z
Sn1 0.000 0.000 0.000
P1 0.250 0.250 0.250
O1 0.000 0.000 0.500
# E_form (uncorrected)	59.6	kJ/mol of atoms
# distance to the lowest polymorph of the same formula	0.507	eV per atom
# N(E_F)	9.58	states/eV/cell



# GGA-PBE SnP2O6, relaxed
data_SnP2O6
_chemical_formula_sum 'Sn8 P16 O48'
_space_group_name_H-M_alt 'P b c a'
_space_group_IT_number 61
_cell_length_a 7.510
_cell_length_b 9.680
_cell_length_c 16.053
_cell_angle_alpha 90.00
_cell_angle_beta 90.00
_cell_angle_gamma 90.00
loop_
_space_group_symop_operation_xyz
'x,y,z'
'-x,-y,-z'
'-x+1/2,-y,z+1/2'
'x+1/2,y,-z+1/2'
'x+1/2,-y+1/2,-z'
'-x+1/2,y+1/2,z'
'-x,y+1/2,-z+1/2'
'x,-y+1/2,z+1/2'
loop_
_atom_site_label
_atom_site_fract_x
_atom_site_fract_y
_atom_site_fract_z
Sn1 0.037 0.003 0.189
P1 0.125 0.708 0.082
P2 0.241 0.748 0.908
O1 0.081 0.164 0.429
O2 0.092 0.650 0.398
O3 0.139 0.636 0.592
O4 0.204 0.619 0.149
O5 0.208 0.663 0.994
O6 0.222 0.145 0.841
# E_form (uncorrected)	-191.1	kJ/mol of atoms
# distance to the lowest polymorph of the same formula	0.000	eV per atom
# N(E_F)	0.00	states/eV/cell



# GGA-PBE Sn8P2O13, relaxed
data_Sn8P2O13
_chemical_formula_sum 'Sn32 P8 O52'
_space_group_name_H-M_alt 'C 1 2/m 1'
_space_group_IT_number 12
_cell_length_a 10.779
_cell_length_b 10.132
_cell_length_c 14.564
_cell_angle_alpha 90.00
_cell_angle_beta 97.01
_cell_angle_gamma 90.00
loop_
_space_group_symop_operation_xyz
'x,y,z'
'-x,-y,-z'
'-x,y,-z'
'x,-y,z'
'x+1/2,y+1/2,z'
'-x+1/2,-y+1/2,-z'
'-x+1/2,y+1/2,-z'
'x+1/2,-y+1/2,z'
loop_
_atom_site_label
_atom_site_fract_x
_atom_site_fract_y
_atom_site_fract_z
Sn1 0.067 0.000 0.177
Sn2 0.079 0.255 0.399
Sn3 0.091 0.500 0.216
Sn4 0.186 0.279 0.785
Sn5 0.195 0.500 0.590
Sn6 0.223 0.500 0.989
P1 0.000 0.252 0.000
P2 0.150 0.000 0.604
O1 0.011 0.352 0.721
O2 0.084 0.164 0.070
O3 0.084 0.342 0.946
O4 0.086 0.126 0.638
O5 0.146 0.000 0.497
O6 0.202 0.144 0.322
O7 0.210 0.500 0.353
O8 0.234 0.500 0.840
# E_form (uncorrected)	-154.6	kJ/mol of atoms
# N(E_F)	0.00	states/eV/cell



# GGA-PBE SnPO5, relaxed
data_SnPO5
_chemical_formula_sum 'Sn4 P4 O20'
_space_group_name_H-M_alt 'C 1 2/c 1'
_space_group_IT_number 15
_cell_length_a 7.566
_cell_length_b 7.622
_cell_length_c 7.606
_cell_angle_alpha 90.00
_cell_angle_beta 119.32
_cell_angle_gamma 90.00
loop_
_space_group_symop_operation_xyz
'x,y,z'
'-x,-y,-z'
'-x,y,-z+1/2'
'x,-y,z+1/2'
'x+1/2,y+1/2,z'
'-x+1/2,-y+1/2,-z'
'-x+1/2,y+1/2,-z+1/2'
'x+1/2,-y+1/2,z+1/2'
loop_
_atom_site_label
_atom_site_fract_x
_atom_site_fract_y
_atom_site_fract_z
Sn1 0.000 0.000 0.000
P1 0.000 0.372 0.250
O1 0.000 0.094 0.750
O2 0.001 0.261 0.081
O3 0.185 0.497 0.340
# E_form (uncorrected)	-154.4	kJ/mol of atoms
# N(E_F)	21.00	states/eV/cell



# GGA-PBE Sn2P5O15, relaxed
data_Sn2P5O15
_chemical_formula_sum 'Sn4 P10 O30'
_space_group_name_H-M_alt 'P 1 c 1'
_space_group_IT_number 7
_cell_length_a 5.471
_cell_length_b 9.348
_cell_length_c 13.769
_cell_angle_alpha 90.00
_cell_angle_beta 112.92
_cell_angle_gamma 90.00
loop_
_space_group_symop_operation_xyz
'x,y,z'
'x,-y,z+1/2'
loop_
_atom_site_label
_atom_site_fract_x
_atom_site_fract_y
_atom_site_fract_z
Sn1 0.000 0.211 0.000
Sn2 0.926 0.215 0.651
P1 0.273 0.306 0.493
P2 0.372 0.018 0.417
P3 0.454 0.030 0.216
P4 0.648 0.301 0.159
P5 0.958 0.489 0.824
O1 0.056 0.409 0.752
O2 0.084 0.333 0.545
O3 0.186 0.396 0.385
O4 0.192 0.112 0.896
O5 0.216 0.046 0.112
O6 0.222 0.145 0.449
O7 0.355 0.084 0.306
O8 0.368 0.327 0.080
O9 0.565 0.333 0.552
O10 0.583 0.112 0.741
O11 0.656 0.001 0.492
O12 0.669 0.151 0.221
O13 0.705 0.412 0.255
O14 0.871 0.306 0.121
O15 0.871 0.408 0.899
# E_form (uncorrected)	-188.1	kJ/mol of atoms
# N(E_F)	1.62	states/eV/cell